1.
The following is a DFT calculation (PBE+U) of a relaxed CoNiIO2 crystal.

abc: 3.7118 3.7118 6.8129
angles: 90.00 90.00 90.00
Space group P4/mmm (No. 123)
Symmetry-distinct sites (fractional):
Co  0.0000  0.0000  0.0000 (multiplicity 1)
Ni  0.5000  0.5000  0.5000 (multiplicity 1)
I  0.5000  0.5000  0.0000 (multiplicity 1)
O  0.0000  0.5000  0.5000 (multiplicity 2)

The total magnetization comes out at 5.20 μB/f.u. Its density of states at the Fermi level is 2.970 states/eV per cell. The calculation puts the uncorrected energy at -17.78 eV/f.u. The value obtained for the energy above the lowest structure with this stoichiometry is 315 meV/atom.

2.
The following is a DFT calculation (PBE+U) of a relaxed CoNiI2O crystal.

abc: 5.5028 5.5028 3.6270
angles: 90.00 90.00 90.00
Space group P4/mmm (No. 123)
Symmetry-distinct sites (fractional):
Co  0.0000  0.0000  0.0000 (multiplicity 1)
Ni  0.5000  0.5000  0.5000 (multiplicity 1)
I  0.0000  0.5000  0.5000 (multiplicity 2)
O  0.5000  0.5000  0.0000 (multiplicity 1)

The total magnetization comes out at 4.81 μB/f.u. Its density of states at the Fermi level is 4.419 states/eV per cell. The calculation puts the uncorrected energy at -13.74 eV/f.u. The value obtained for the energy above the lowest structure with this stoichiometry is 0 meV/atom.

3.
The following is a DFT calculation (PBE+U) of a relaxed CoNiI2O crystal.

abc: 5.5414 5.5414 3.5416
angles: 90.00 90.00 90.00
Space group P4/mmm (No. 123)
Symmetry-distinct sites (fractional):
Co  0.0000  0.0000  0.0000 (multiplicity 1)
Ni  0.5000  0.5000  0.5000 (multiplicity 1)
I  0.0000  0.5000  0.0000 (multiplicity 2)
O  0.0000  0.0000  0.5000 (multiplicity 1)

The total magnetization comes out at 3.35 μB/f.u. Its density of states at the Fermi level is 6.658 states/eV per cell. The calculation puts the uncorrected energy at -13.29 eV/f.u. The value obtained for the energy above the lowest structure with this stoichiometry is 90 meV/atom.

4.
The following is a DFT calculation (PBE+U) of a relaxed Co2NiIO6 crystal.

abc: 5.2799 5.2799 13.7443
angles: 90.00 90.00 120.00
Space group R3 (No. 146, hexagonal axes)
Symmetry-distinct sites (fractional):
Co  0.0000  0.0000  0.0000 (multiplicity 3)
Co  0.0000  0.0000  0.4760 (multiplicity 3)
Ni  0.0000  0.0000  0.2795 (multiplicity 3)
I  0.0000  0.0000  0.7862 (multiplicity 3)
O  0.0512  0.6960  0.5471 (multiplicity 9)
O  0.0668  0.3744  0.0561 (multiplicity 9)

The total magnetization comes out at 4.98 μB/f.u. The calculation puts the uncorrected energy at -50.96 eV/f.u.

5.
The following is a DFT calculation (PBE+U) of a relaxed CoNiIO2 crystal.

abc: 3.6725 3.6725 7.2620
angles: 90.00 90.00 90.00
Space group P4/mmm (No. 123)
Symmetry-distinct sites (fractional):
Co  0.0000  0.0000  0.0000 (multiplicity 1)
Ni  0.5000  0.5000  0.5000 (multiplicity 1)
I  0.0000  0.0000  0.5000 (multiplicity 1)
O  0.0000  0.5000  0.0000 (multiplicity 2)

The total magnetization comes out at 4.65 μB/f.u. Its density of states at the Fermi level is 1.261 states/eV per cell. The calculation puts the uncorrected energy at -19.35 eV/f.u. The value obtained for the energy above the lowest structure with this stoichiometry is 0 meV/atom.

6.
The following is a DFT calculation (PBE+U) of a relaxed CoNi2IO6 crystal.

abc: 5.2419 5.5008 9.1422
angles: 90.00 123.67 90.00
Space group P2_1/c (No. 14)
Symmetry-distinct sites (fractional):
Co  0.0000  0.0000  0.0000 (multiplicity 2)
Ni  0.2844  0.0510  0.7879 (multiplicity 4)
I  0.5000  0.0000  0.5000 (multiplicity 2)
O  0.1118  0.0718  0.2494 (multiplicity 4)
O  0.2807  0.6738  0.0936 (multiplicity 4)
O  0.3842  0.1758  0.0446 (multiplicity 4)

The total magnetization comes out at 6.28 μB/f.u. Its density of states at the Fermi level is 6.395 states/eV per cell. The calculation puts the uncorrected energy at -47.86 eV/f.u.